{
  "formula": "La4AsP2O",
  "functional": "PBE",
  "state": "optimized geometry",
  "lattice_angstrom": [[2.106, -6.886, 0.000], [2.106, 6.886, 0.000], [0.000, 0.000, 14.746]],
  "species": ["La", "La", "La", "La", "La", "La", "La", "La", "As", "As", "P", "P", "P", "P", "O", "O"],
  "fractional_positions": [[0.000, 0.000, 0.000], [0.000, 0.000, 0.500], [0.269, 0.731, 0.625], [0.269, 0.731, 0.875], [0.433, 0.567, 0.250], [0.567, 0.433, 0.750], [0.731, 0.269, 0.125], [0.731, 0.269, 0.375], [0.108, 0.892, 0.250], [0.892, 0.108, 0.750], [0.365, 0.635, 0.058], [0.365, 0.635, 0.442], [0.635, 0.365, 0.558], [0.635, 0.365, 0.942], [0.160, 0.840, 0.750], [0.840, 0.160, 0.250]]
}

---

{
  "formula": "La6As3P2O",
  "functional": "PBE",
  "state": "optimized geometry",
  "lattice_angstrom": [[9.200, -2.126, 0.000], [9.200, 2.126, 0.000], [-1.973, 0.000, 8.252]],
  "species": ["La", "La", "La", "La", "La", "La", "As", "As", "As", "P", "P", "O"],
  "fractional_positions": [[0.000, 0.000, 0.236], [0.000, 0.000, 0.764], [0.331, 0.331, 0.418], [0.343, 0.343, 0.918], [0.657, 0.657, 0.082], [0.669, 0.669, 0.582], [0.168, 0.168, 0.837], [0.500, 0.500, 0.500], [0.832, 0.832, 0.163], [0.163, 0.163, 0.329], [0.837, 0.837, 0.671], [0.500, 0.500, 0.000]]
}

---

{
  "formula": "LaAsP2O",
  "functional": "PBE",
  "state": "optimized geometry",
  "lattice_angstrom": [[4.804, 0.000, 0.000], [0.000, 4.804, 0.000], [0.000, 0.000, 4.095]],
  "species": ["La", "As", "P", "P", "O"],
  "fractional_positions": [[0.000, 0.000, 0.000], [0.500, 0.500, 0.500], [0.000, 0.500, 0.500], [0.500, 0.000, 0.500], [0.500, 0.500, 0.000]]
}

---

{
  "formula": "LaAsPO2",
  "functional": "PBE",
  "state": "optimized geometry",
  "lattice_angstrom": [[4.167, 0.000, 0.000], [0.000, 4.167, 0.000], [0.000, 0.000, 6.806]],
  "species": ["La", "As", "P", "O", "O"],
  "fractional_positions": [[0.000, 0.000, 0.000], [0.500, 0.500, 0.500], [0.000, 0.000, 0.500], [0.000, 0.500, 0.000], [0.500, 0.000, 0.000]]
}

---

{
  "formula": "La2PaAsO8",
  "functional": "PBE",
  "state": "optimized geometry",
  "lattice_angstrom": [[3.591, -3.718, 0.000], [3.591, 3.718, 0.000], [0.000, 0.000, 6.859]],
  "species": ["La", "La", "Pa", "As", "O", "O", "O", "O", "O", "O", "O", "O"],
  "fractional_positions": [[0.001, 0.001, 0.266], [0.999, 0.999, 0.734], [0.500, 0.500, 0.000], [0.500, 0.500, 0.500], [0.206, 0.206, 0.000], [0.250, 0.250, 0.501], [0.330, 0.670, 0.278], [0.330, 0.670, 0.722], [0.670, 0.330, 0.278], [0.670, 0.330, 0.722], [0.750, 0.750, 0.499], [0.794, 0.794, 0.000]]
}

---

{
  "formula": "LaPaAs2O8",
  "functional": "PBE",
  "state": "optimized geometry",
  "lattice_angstrom": [[-3.656, 3.656, 3.397], [3.656, -3.656, 3.397], [3.656, 3.656, -3.397]],
  "species": ["La", "Pa", "As", "As", "O", "O", "O", "O", "O", "O", "O", "O"],
  "fractional_positions": [[0.000, 0.000, 0.000], [0.250, 0.750, 0.500], [0.500, 0.500, 0.000], [0.750, 0.250, 0.500], [0.303, 0.097, 0.794], [0.303, 0.509, 0.206], [0.406, 0.081, 0.325], [0.491, 0.697, 0.794], [0.755, 0.081, 0.675], [0.903, 0.697, 0.206], [0.919, 0.245, 0.325], [0.919, 0.594, 0.675]]
}

---

{
  "formula": "LaAs2PbO8",
  "functional": "PBE",
  "state": "optimized geometry",
  "lattice_angstrom": [[-2.604, 2.604, 6.031], [2.604, -2.604, 6.031], [2.604, 2.604, -6.031]],
  "species": ["La", "As", "As", "Pb", "O", "O", "O", "O", "O", "O", "O", "O"],
  "fractional_positions": [[0.000, 0.000, 0.000], [0.250, 0.750, 0.500], [0.500, 0.500, 0.000], [0.750, 0.250, 0.500], [0.034, 0.916, 0.605], [0.084, 0.689, 0.118], [0.179, 0.285, 0.614], [0.311, 0.429, 0.395], [0.435, 0.821, 0.106], [0.571, 0.966, 0.882], [0.670, 0.565, 0.386], [0.715, 0.330, 0.894]]
}

---

{
  "formula": "LaAsPb2O",
  "functional": "PBE",
  "state": "optimized geometry",
  "lattice_angstrom": [[5.049, 0.000, 0.000], [0.000, 5.049, 0.000], [0.000, 0.000, 4.920]],
  "species": ["La", "As", "Pb", "Pb", "O"],
  "fractional_positions": [[0.000, 0.000, 0.000], [0.500, 0.500, 0.000], [0.000, 0.500, 0.500], [0.500, 0.000, 0.500], [0.000, 0.000, 0.500]]
}

---

{
  "formula": "LaPmAsO2",
  "functional": "PBE",
  "state": "optimized geometry",
  "lattice_angstrom": [[-1.975, 1.975, 6.700], [1.975, -1.975, 6.700], [1.975, 1.975, -6.700]],
  "species": ["La", "Pm", "As", "O", "O"],
  "fractional_positions": [[0.000, 0.000, 0.000], [0.316, 0.316, 0.000], [0.660, 0.660, 0.000], [0.405, 0.905, 0.500], [0.905, 0.405, 0.500]]
}

---

{
  "formula": "LaPmAsO5",
  "functional": "PBE",
  "state": "optimized geometry",
  "lattice_angstrom": [[3.846, -4.811, 0.000], [3.846, 4.811, 0.000], [-3.738, 0.000, 7.269]],
  "species": ["La", "La", "Pm", "Pm", "As", "As", "O", "O", "O", "O", "O", "O", "O", "O", "O", "O"],
  "fractional_positions": [[0.179, 0.821, 0.750], [0.821, 0.179, 0.250], [0.500, 0.500, 0.000], [0.500, 0.500, 0.500], [0.184, 0.816, 0.250], [0.816, 0.184, 0.750], [0.109, 0.228, 0.902], [0.147, 0.615, 0.396], [0.228, 0.109, 0.402], [0.385, 0.853, 0.104], [0.404, 0.596, 0.750], [0.596, 0.404, 0.250], [0.615, 0.147, 0.896], [0.772, 0.891, 0.598], [0.853, 0.385, 0.604], [0.891, 0.772, 0.098]]
}

---

{
  "formula": "LaPmAsO",
  "functional": "PBE",
  "state": "optimized geometry",
  "lattice_angstrom": [[4.484, 0.000, 0.000], [0.000, 4.484, 0.000], [0.000, 0.000, 9.449]],
  "species": ["La", "La", "Pm", "Pm", "As", "As", "O", "O"],
  "fractional_positions": [[0.250, 0.250, 0.107], [0.750, 0.750, 0.893], [0.250, 0.750, 0.500], [0.750, 0.250, 0.500], [0.250, 0.250, 0.703], [0.750, 0.750, 0.297], [0.250, 0.750, 0.000], [0.750, 0.250, 0.000]]
}

---

{
  "formula": "LaPrAs2O8",
  "functional": "PBE",
  "state": "optimized geometry",
  "lattice_angstrom": [[-2.608, 2.608, 5.952], [2.608, -2.608, 5.952], [2.608, 2.608, -5.952]],
  "species": ["La", "Pr", "As", "As", "O", "O", "O", "O", "O", "O", "O", "O"],
  "fractional_positions": [[0.000, 0.000, 0.000], [0.250, 0.750, 0.500], [0.500, 0.500, 0.000], [0.750, 0.250, 0.500], [0.290, 0.669, 0.114], [0.331, 0.445, 0.620], [0.427, 0.037, 0.118], [0.555, 0.176, 0.886], [0.691, 0.573, 0.610], [0.824, 0.710, 0.380], [0.920, 0.309, 0.882], [0.963, 0.080, 0.390]]
}

---

{
  "formula": "LaAsPt2O",
  "functional": "PBE",
  "state": "optimized geometry",
  "lattice_angstrom": [[4.453, 0.000, 0.000], [0.000, 4.453, 0.000], [0.000, 0.000, 4.658]],
  "species": ["La", "As", "Pt", "Pt", "O"],
  "fractional_positions": [[0.000, 0.000, 0.000], [0.500, 0.500, 0.000], [0.000, 0.500, 0.500], [0.500, 0.000, 0.500], [0.500, 0.500, 0.500]]
}

---

{
  "formula": "RbLaAs2O6",
  "functional": "PBE",
  "state": "optimized geometry",
  "lattice_angstrom": [[3.009, 1.737, 6.269], [-3.009, 1.737, 6.269], [0.000, -3.475, 6.269]],
  "species": ["Rb", "La", "As", "As", "O", "O", "O", "O", "O", "O"],
  "fractional_positions": [[0.000, 0.000, 0.000], [0.500, 0.500, 0.500], [0.268, 0.268, 0.268], [0.732, 0.732, 0.732], [0.060, 0.700, 0.521], [0.300, 0.479, 0.940], [0.479, 0.940, 0.300], [0.521, 0.060, 0.700], [0.700, 0.521, 0.060], [0.940, 0.300, 0.479]]
}

---

{
  "formula": "RbLaAs2O8",
  "functional": "PBE",
  "state": "optimized geometry",
  "lattice_angstrom": [[5.985, 0.000, 0.000], [-2.992, 5.183, 0.000], [0.000, 0.000, 8.272]],
  "species": ["Rb", "La", "As", "As", "O", "O", "O", "O", "O", "O", "O", "O"],
  "fractional_positions": [[0.000, 0.000, 0.000], [0.000, 0.000, 0.500], [0.333, 0.667, 0.749], [0.667, 0.333, 0.251], [0.177, 0.353, 0.685], [0.177, 0.823, 0.685], [0.333, 0.667, 0.959], [0.353, 0.177, 0.315], [0.647, 0.823, 0.685], [0.667, 0.333, 0.041], [0.823, 0.177, 0.315], [0.823, 0.647, 0.315]]
}

---

{
  "formula": "Rb2LaAs2O6",
  "functional": "PBE",
  "state": "optimized geometry",
  "lattice_angstrom": [[5.237, -3.104, 0.000], [5.237, 3.104, 0.000], [-3.420, 0.000, 6.800]],
  "species": ["Rb", "Rb", "La", "As", "As", "O", "O", "O", "O", "O", "O"],
  "fractional_positions": [[0.216, 0.216, 0.192], [0.784, 0.784, 0.808], [0.000, 0.000, 0.500], [0.436, 0.436, 0.785], [0.564, 0.564, 0.215], [0.254, 0.254, 0.609], [0.255, 0.710, 0.261], [0.290, 0.745, 0.739], [0.710, 0.255, 0.261], [0.745, 0.290, 0.739], [0.746, 0.746, 0.391]]
}

---

{
  "formula": "La4As2S5O4",
  "functional": "PBE",
  "state": "optimized geometry",
  "lattice_angstrom": [[4.187, 0.000, 0.000], [0.304, 8.312, 0.000], [2.043, 1.977, 9.219]],
  "species": ["La", "La", "La", "La", "As", "As", "S", "S", "S", "S", "S", "O", "O", "O", "O"],
  "fractional_positions": [[0.000, 0.000, 0.000], [0.005, 0.493, 0.004], [0.617, 0.807, 0.746], [0.633, 0.311, 0.738], [0.096, 0.699, 0.370], [0.353, 0.256, 0.377], [0.126, 0.070, 0.576], [0.262, 0.613, 0.583], [0.381, 0.187, 0.160], [0.483, 0.726, 0.163], [0.915, 0.442, 0.366], [0.058, 0.776, 0.878], [0.065, 0.281, 0.866], [0.560, 0.032, 0.869], [0.562, 0.526, 0.875]]
}

---

{
  "formula": "LaSbAs2O",
  "functional": "PBE",
  "state": "optimized geometry",
  "lattice_angstrom": [[4.815, 0.000, 0.000], [0.000, 4.815, 0.000], [0.000, 0.000, 4.725]],
  "species": ["La", "Sb", "As", "As", "O"],
  "fractional_positions": [[0.000, 0.000, 0.000], [0.500, 0.500, 0.000], [0.000, 0.500, 0.500], [0.500, 0.000, 0.500], [0.000, 0.000, 0.500]]
}

---

{
  "formula": "La3SbAsO",
  "functional": "PBE",
  "state": "optimized geometry",
  "lattice_angstrom": [[9.131, 0.000, 0.000], [0.000, 4.326, 0.000], [-1.805, 0.000, 9.208]],
  "species": ["La", "La", "La", "La", "La", "La", "Sb", "Sb", "As", "As", "O", "O"],
  "fractional_positions": [[0.080, 0.250, 0.336], [0.333, 0.250, 0.983], [0.390, 0.750, 0.650], [0.610, 0.250, 0.350], [0.667, 0.750, 0.017], [0.920, 0.750, 0.664], [0.329, 0.750, 0.277], [0.671, 0.250, 0.723], [0.155, 0.250, 0.661], [0.845, 0.750, 0.339], [0.415, 0.750, 0.910], [0.585, 0.250, 0.090]]
}

---

{
  "formula": "LaScAsO",
  "functional": "PBE",
  "state": "optimized geometry",
  "lattice_angstrom": [[4.322, 0.000, 0.000], [0.000, 4.322, 0.000], [0.000, 0.000, 9.131]],
  "species": ["La", "La", "Sc", "Sc", "As", "As", "O", "O"],
  "fractional_positions": [[0.250, 0.250, 0.121], [0.750, 0.750, 0.879], [0.250, 0.750, 0.500], [0.750, 0.250, 0.500], [0.250, 0.250, 0.678], [0.750, 0.750, 0.322], [0.250, 0.750, 0.000], [0.750, 0.250, 0.000]]
}

---

Calculated values (eV per atom) of DFT total energy for the records, taken in order: -6.8861, -6.6619, -5.6177, -5.6072, -8.0466, -7.6361, -6.5123, -5.2155, -7.4780, -7.3665, -6.7716, -7.2236, -5.6944, -6.2798, -6.1645, -6.0922, -6.7686, -5.3591, -6.6641, -7.3425.